UTaFe2: relaxed, PBE.

For the energy of formation from the pure elements, the calculation gives -0.044 eV per atom. The value obtained for the total moment is 0.12 μB/cell. For the total energy, the calculation gives -10.060 eV per atom.

a = 2.9704 Å, b = 2.9704 Å, c = 6.9136 Å
α = 90.00°, β = 90.00°, γ = 90.00°
Closest atoms and distances in Å follow each position.
Space group P4/mmm (No. 123)
One atom of each set of equivalent atoms:
U1 0.0000 0.0000 0.0000 x1  8 Fe 2.86, 4 U 2.97
Ta1 0.0000 0.0000 0.5000 x1  8 Fe 2.59
Fe1 0.5000 0.5000 0.2811 x2  4 Ta 2.59, 4 U 2.86

VNi4Pt2: relaxed, PBE.

For the energy of formation from the pure elements, the calculation gives -0.225 eV per atom. The value obtained for the total moment is 0.00 μB/cell. For the total energy, the calculation gives -6.557 eV per atom. The value obtained for the distance to the lowest polymorph of the same formula is 0 meV/atom.

a = 5.2902 Å, b = 5.7746 Å, c = 6.8862 Å
α = 114.60°, β = 100.87°, γ = 103.22°
Closest atoms and distances in Å follow each position.
Space group P1 (No. 1)
One atom of each set of equivalent atoms:
V1 0.0000 0.0000 0.0000 x1  9 Ni 2.46-2.66, 3 Pt 2.57-2.63
V2 0.3465 0.8558 0.5684 x1  7 Ni 2.49-2.62, 4 Pt 2.54-2.65
Ni1 0.1336 0.1193 0.4162 x1  5 Ni 2.49-2.69, 2 V 2.52-2.56, 5 Pt 2.62-2.75
Ni2 0.1998 0.7082 0.1379 x1  7 Ni 2.51-2.78, 2 V 2.57-2.62, 3 Pt 2.58-2.59
Ni3 0.2874 0.2706 0.8516 x1  7 Ni 2.50-2.69, 2 V 2.51-2.57, 3 Pt 2.56-2.64
Ni4 0.4995 0.9927 0.9922 x1  5 Ni 2.48-2.65, 4 Pt 2.54-2.63, 3 V 2.59-2.66
Ni5 0.7226 0.7035 0.1347 x1  8 Ni 2.51-2.78, 3 Pt 2.55-2.59, 1 V 2.58
Ni6 0.7860 0.2598 0.8589 x1  2 V 2.46-2.59, 7 Ni 2.48-2.65, 3 Pt 2.67-2.74
Ni7 0.8791 0.8619 0.5747 x1  2 V 2.49-2.60, 5 Ni 2.49-2.67, 4 Pt 2.54-2.73
Ni8 0.9227 0.4239 0.2726 x1  6 Ni 2.49-2.69, 2 V 2.57-2.62, 4 Pt 2.64-2.72
Pt1 0.0737 0.5670 0.7128 x1  7 Ni 2.58-2.70, 2 V 2.58-2.63, 3 Pt 2.64-2.71
Pt2 0.4231 0.4245 0.2741 x1  8 Ni 2.56-2.73, 2 V 2.57-2.65, 2 Pt 2.70-2.75
Pt3 0.5765 0.5759 0.7187 x1  6 Ni 2.54-2.75, 2 V 2.58-2.64, 4 Pt 2.64-2.76
Pt4 0.6381 0.1114 0.4192 x1  1 V 2.54, 8 Ni 2.54-2.72, 3 Pt 2.71-2.76

Nb2CdGeN: relaxed, PBE.

The value obtained for the total moment is 0.00 μB/cell. For the total energy, the calculation gives -5.579 eV per atom. As for the uncorrected formation energy: 1.221 eV/atom.

a = 5.0583 Å, b = 5.0583 Å, c = 3.6930 Å
α = 90.00°, β = 90.00°, γ = 90.00°
Closest atoms and distances in Å follow each position.
Space group P4/mmm (No. 123)
One atom of each set of equivalent atoms:
Nb1 0.0000 0.5000 0.0000 x2  2 Ge 2.53
Cd1 0.0000 0.0000 0.5000 x1  8 Nb 3.13
Ge1 0.5000 0.5000 0.0000 x1  2 N 1.85
N1 0.5000 0.5000 0.5000 x1  2 Ge 1.85

TiAlVTcRh: relaxed, PBE.

For the energy of formation from the pure elements, the calculation gives -0.379 eV per atom. The value obtained for the total moment is 0.00 μB/cell. For the total energy, the calculation gives -8.074 eV per atom. The value obtained for the distance to the lowest polymorph of the same formula is 217 meV/atom.

a = 4.3325 Å, b = 4.3325 Å, c = 13.3344 Å
α = 90.00°, β = 90.00°, γ = 120.00°
Closest atoms and distances in Å follow each position.
Space group R3m (No. 160, hexagonal axes)
One atom of each set of equivalent atoms:
Ti1 0.0000 0.0000 0.0000 x3  3 V 2.60, 1 Rh 2.63, 3 Al 2.73
Al1 0.0000 0.0000 0.4156 x3  3 Rh 2.60, 1 Tc 2.62, 1 V 2.65, 3 Ti 2.73
V1 0.0000 0.0000 0.6140 x3  1 Rh 2.51, 3 Ti 2.60, 3 Tc 2.63, 1 Al 2.65
Tc1 0.0000 0.0000 0.2192 x3  1 Al 2.62, 3 V 2.63, 3 Rh 2.74, 4 Ti 2.92-2.93
Rh1 0.0000 0.0000 0.8026 x3  1 V 2.51, 3 Al 2.60, 1 Ti 2.63, 3 Tc 2.74

Dy8Te4AsP3: relaxed, PBE.

The value obtained for the total moment is 0.00 μB/cell. For the total energy, the calculation gives -5.930 eV per atom. As for the uncorrected formation energy: -1.538 eV/atom.

a = 8.2673 Å, b = 8.2673 Å, c = 21.1937 Å
α = 90.00°, β = 90.00°, γ = 120.00°
Closest atoms and distances in Å follow each position.
Space group R-3m (No. 166, hexagonal axes)
One atom of each set of equivalent atoms:
Dy1 0.0000 0.0000 0.2365 x6  3 P 2.81
Dy2 0.0058 0.5029 0.7626 x18  2 P 2.80, 1 As 2.85, 1 Te 3.10
Te1 0.0000 0.0000 0.0000 x3  6 Dy 3.10
Te2 0.0000 0.5000 0.0000 x9  6 Dy 3.15
As1 0.0000 0.0000 0.5000 x3  6 Dy 2.85
P1 0.0000 0.5000 0.5000 x9  6 Dy 2.80-2.81

YTeCl2: relaxed, PBE.

The value obtained for the total moment is 3.05 μB/cell. For the total energy, the calculation gives -4.658 eV per atom. The value obtained for the distance to the lowest polymorph of the same formula is 273 meV/atom. As for the uncorrected formation energy: -1.333 eV/atom.

a = 4.5867 Å, b = 4.5867 Å, c = 22.6709 Å
α = 90.00°, β = 90.00°, γ = 120.00°
Closest atoms and distances in Å follow each position.
Space group R3m (No. 160, hexagonal axes)
One atom of each set of equivalent atoms:
Y1 0.0000 0.0000 0.0000 x3  6 Cl 2.70-2.93, 1 Te 2.98
Te1 0.0000 0.0000 0.8687 x3  1 Y 2.98
Cl1 0.0000 0.0000 0.3889 x3  3 Y 2.93, 3 Cl 3.20
Cl2 0.0000 0.0000 0.6430 x3  3 Y 2.70